Entry from Alexandria: an optimized crystal structure of SmNiH8Rh2 (PBE).

Unit cell a=4.6128 b=4.6128 c=16.3280 alpha=90.00 beta=90.00 gamma=120.00
Space group R-3 (No. 148, hexagonal axes)
One atom of each set of equivalent atoms:
Sm (0.0000, 0.0000, 0.0000) x3
Ni (0.0000, 0.0000, 0.5000) x3
H (0.0000, 0.0000, 0.3126) x6
H (0.0026, 0.3742, 0.7833) x18
Rh (0.0000, 0.0000, 0.2107) x6

Output
For the calculated total energy, the calculation gives -4.57 eV/atom.